# AgTeSe, optimized geometry, DFT PBE
# total DFT energy (no corrections)	-3.17	eV per atom
# formation energy without anion corrections	-0.006	eV/atom
# N(E_F)	1.5	states/eV/cell
# size of the total moment	0.0	μB/cell
# E above lowest polymorph	0.0170	eV/atom
data_AgTeSe
_cell_length_a 4.352
_cell_length_b 6.047
_cell_length_c 6.800
_cell_angle_alpha 75.71
_cell_angle_beta 73.97
_cell_angle_gamma 74.22
_space_group_name_H-M_alt 'P 1'
_space_group_IT_number 1
_space_group_name_Hall 'P 1'
loop_
_atom_site_label
_atom_site_fract_x
_atom_site_fract_y
_atom_site_fract_z
_atom_site_occupancy
Ag1 0.000 0.000 0.000 1
Ag2 0.101 0.205 0.378 1
Te1 0.467 0.328 0.877 1
Te2 0.509 0.515 0.408 1
Se1 0.565 0.697 0.973 1
Se2 0.657 0.930 0.416 1